[1]
First-principles (PBE) data for a relaxed Rb2MoSe2S crystal, as listed in OQMD.

Calculated values
Crystal system: triclinic
Uncorrected energy in eV/atom: -4.8772
Magnetization in μB/atom: 0.0003
Symmetry: P-1

Unit cell a=7.1427 b=7.7462 c=8.8956 alpha=74.62 beta=69.10 gamma=66.76
Fractional coordinates of all 12 atoms:
S (0.2756, 0.9622, 0.4865)
S (0.7244, 0.0378, 0.5135)
Se (0.1751, 0.3659, 0.7215)
Se (0.8249, 0.6341, 0.2785)
Se (0.3805, 0.8261, 0.9034)
Se (0.6195, 0.1739, 0.0966)
Rb (0.0913, 0.1919, 0.1401)
Rb (0.9087, 0.8081, 0.8599)
Rb (0.6622, 0.4311, 0.6940)
Rb (0.3378, 0.5689, 0.3060)
Mo (0.3841, 0.0500, 0.6591)
Mo (0.6159, 0.9500, 0.3409)


[2]
First-principles (PBE) data for a relaxed Tl2Pt3S4 crystal, as listed in OQMD.

Calculated values
Crystal system: orthorhombic
Uncorrected energy in eV/atom: -4.7403
Magnetization in μB/atom: 0.0005
Symmetry: Fmmm

Unit cell a=8.2173 b=6.8181 c=6.4172 alpha=76.69 beta=53.85 gamma=49.46
Fractional coordinates of all 9 atoms:
Tl (0.8587, 0.8587, 0.1413)
Tl (0.1413, 0.1413, 0.8587)
Pt (0.0000, 0.0000, 0.5000)
Pt (0.5000, 0.5000, 0.5000)
Pt (0.5000, 0.5000, 0.0000)
S (0.2118, 0.5419, 0.4581)
S (0.7882, 0.4581, 0.5419)
S (0.4581, 0.7882, 0.2118)
S (0.5419, 0.2118, 0.7882)


[3]
First-principles (PBE) data for a relaxed PtPb2F3 crystal, as listed in OQMD.

Calculated values
Crystal system: tetragonal
Uncorrected energy in eV/atom: -4.5418
Magnetization in μB/atom: 0.0001
Symmetry: P-4m2

Unit cell a=4.3139 b=4.3139 c=6.0935 alpha=90.00 beta=90.00 gamma=90.00
Fractional coordinates of all 6 atoms:
F (0.0000, 0.0000, 0.0000)
F (0.5000, 0.5000, 0.5000)
F (0.0000, 0.0000, 0.5000)
Pb (0.5000, 0.0000, 0.7412)
Pb (0.0000, 0.5000, 0.2588)
Pt (0.5000, 0.5000, 0.0000)


[4]
First-principles (PBE) data for a relaxed BePd2Au crystal, as listed in OQMD.

Calculated values
Excess energy over the best structure of this formula in the dataset in kJ/mol of atoms: 0.00
Crystal system: tetragonal
Symmetry: P4/mmm

Unit cell a=2.8251 b=2.8251 c=6.9832 alpha=90.00 beta=90.00 gamma=90.00
Fractional coordinates of all 4 atoms:
Be (0.5000, 0.5000, 0.0000)
Pd (0.0000, 0.0000, 0.8026)
Pd (0.0000, 0.0000, 0.1974)
Au (0.5000, 0.5000, 0.5000)


[5]
First-principles (PBE) data for a relaxed HfCdCuAs crystal, as listed in OQMD.

Calculated values
Excess energy over the best structure of this formula in the dataset in kJ/mol of atoms: 18.87
Crystal system: cubic
Magnetization in μB/atom: 0.0001
Symmetry: F-43m

Unit cell a=4.7444 b=4.7444 c=4.7444 alpha=60.00 beta=60.00 gamma=60.00
Fractional coordinates of all 4 atoms:
As (0.0000, 0.0000, 0.0000)
Hf (0.5000, 0.5000, 0.5000)
Cd (0.2500, 0.2500, 0.2500)
Cu (0.7500, 0.7500, 0.7500)


Number 1 is which compound?
Rb2MoSe2S